1.
The following is a DFT calculation (PBE) of a relaxed FeNiGe3 crystal.

Values from the calculation:
Spin magnetization in μB per cell: 2.89
Formation energy in eV per atom: 0.66
Calculated volume in Å³ per cell: 102.25

a b c (Å): 4.676 4.676 4.676
angles (deg): 90.00 90.00 90.00
Fractional coordinates of all 5 atoms:
Fe 0.000 0.000 0.000
Ni 0.500 0.500 0.500
Ge 0.000 0.500 0.500
Ge 0.500 0.000 0.500
Ge 0.500 0.500 0.000



2.
The following is a DFT calculation (PBE) of a relaxed FeNiGe crystal.

Values from the calculation:
Spin magnetization in μB per cell: 3.67
Formation energy in eV per atom: -0.06
Calculated volume in Å³ per cell: 72.66

a b c (Å): 4.101 4.101 4.989
angles (deg): 90.00 90.00 120.00
Fractional coordinates of all 6 atoms:
Fe 0.333 0.667 0.250
Fe 0.667 0.333 0.750
Ni 0.000 0.000 0.000
Ni 0.000 0.000 0.500
Ge 0.333 0.667 0.750
Ge 0.667 0.333 0.250



3.
The following is a DFT calculation (PBE) of a relaxed Fe5Ni6Ge crystal.

Values from the calculation:
Spin magnetization in μB per cell: 16.15
Formation energy in eV per atom: -0.10
Calculated volume in Å³ per cell: 137.50

a b c (Å): 6.689 6.689 6.689
angles (deg): 148.95 115.17 73.62
Fractional coordinates of all 12 atoms:
Fe 0.000 0.000 0.000
Fe 0.166 0.666 0.500
Fe 0.326 0.326 0.000
Fe 0.674 0.674 0.000
Fe 0.834 0.334 0.500
Ni 0.082 0.832 0.250
Ni 0.249 0.500 0.749
Ni 0.418 0.168 0.250
Ni 0.582 0.832 0.750
Ni 0.751 0.500 0.251
Ni 0.918 0.168 0.750
Ge 0.500 0.000 0.500



no.,total DFT energy (no corrections) (eV for the cell shown)
1,-24.8
2,-38.1
3,-82.8